# Li2VF5 | Alexandria | PBE+U | relaxed
# Crystal system: monoclinic
# Density, g cm⁻³: 3.0
# N(E_F), states/eV/cell: 0.0
# Offset from the most stable computed form, eV/f.u.: 0.00
data_Li2VF5
_space_group_name_H-M_alt 'C 1 2/c 1'
_space_group_IT_number 15
_cell_length_a 10.250
_cell_length_b 5.131
_cell_length_c 7.272
_cell_angle_alpha 90.00
_cell_angle_beta 111.09
_cell_angle_gamma 90.00
loop_
_space_group_symop_operation_xyz
'x,y,z'
'-x,-y,-z'
'-x,y,-z+1/2'
'x,-y,z+1/2'
'x+1/2,y+1/2,z'
'-x+1/2,-y+1/2,-z'
'-x+1/2,y+1/2,-z+1/2'
'x+1/2,-y+1/2,z+1/2'
loop_
_atom_site_label
_atom_site_fract_x
_atom_site_fract_y
_atom_site_fract_z
Li1 0.138 0.010 0.235
V1 0.000 0.500 0.000
F1 0.000 0.313 0.750
F2 0.083 0.177 0.453
F3 0.182 0.351 0.147